<one>
{"formula": "MgSiP2", "functional": "GGA-PBEsol", "state": "optimized geometry", "cell": [[5.744, 0.000, 0.000], [-2.872, 5.785, 0.038], [0.000, 2.818, 5.005]], "species": ["P", "P", "P", "Mg", "Si", "Si", "P", "Mg"], "fractional_positions": [[0.082, 0.750, 0.875], [0.375, 0.250, 0.082], [0.668, 0.750, 0.375], [0.250, 0.500, 0.250], [0.000, 0.000, 0.000], [0.750, 0.500, 0.750], [0.875, 0.250, 0.668], [0.500, 0.000, 0.500]], "density_g_cm3": 2.3, "magnetic_moment_mub_per_cell": 0.00}

***

<two>
{"formula": "MgSiP2", "functional": "GGA-PBEsol", "state": "optimized geometry", "cell": [[2.679, 0.000, 0.000], [0.000, 3.438, 0.000], [0.000, 0.000, 6.884]], "species": ["Si", "P", "P", "Mg"], "fractional_positions": [[0.500, 0.500, 0.000], [0.500, 0.000, 0.751], [0.500, 0.000, 0.249], [0.000, 0.500, 0.500]], "density_g_cm3": 3.0, "magnetic_moment_mub_per_cell": 0.00}

***

Stability ranking, top and bottom: <one> is the most stable and <two> is the least stable.

***

<one>
{"formula": "Sr2MgP", "functional": "GGA-PBEsol", "state": "optimized geometry", "cell": [[3.707, 0.055, 0.000], [-0.052, 3.707, 0.000], [0.000, 0.000, 8.911]], "species": ["Sr", "Sr", "Mg", "P"], "fractional_positions": [[0.000, 0.000, 0.088], [0.500, 0.500, 0.683], [0.000, 0.000, 0.424], [0.500, 0.500, 0.305]], "density_g_cm3": 3.1, "magnetic_moment_mub_per_cell": 0.00}

***

<two>
{"formula": "Sr2MgP", "functional": "GGA-PBEsol", "state": "optimized geometry", "cell": [[3.892, 0.000, 0.000], [0.000, 3.892, 0.000], [0.000, 0.000, 7.556]], "species": ["Mg", "P", "Sr", "Sr"], "fractional_positions": [[0.500, 0.500, 0.000], [0.500, 0.500, 0.500], [0.000, 0.000, 0.704], [0.000, 0.000, 0.296]], "density_g_cm3": 3.3, "magnetic_moment_mub_per_cell": 0.00}

***

Stability ranking, top and bottom: <two> is the most stable and <one> is the least stable.

***

<one>
{"formula": "Mg3ZnP", "functional": "GGA-PBEsol", "state": "optimized geometry", "cell": [[-0.337, -2.900, -3.870], [-0.849, -3.783, 2.910], [-4.761, 0.880, -0.245]], "species": ["Zn", "Mg", "Mg", "Mg", "P"], "fractional_positions": [[0.500, 0.500, 0.500], [0.500, 0.000, 0.000], [0.000, 0.500, 0.000], [0.000, 0.000, 0.500], [0.000, 0.000, 0.000]], "density_g_cm3": 2.5, "magnetic_moment_mub_per_cell": 0.00}

***

<two>
{"formula": "Mg3ZnP", "functional": "GGA-PBEsol", "state": "optimized geometry", "cell": [[4.834, 0.000, 0.000], [0.000, 4.834, 0.000], [0.000, 0.000, 4.834]], "species": ["P", "Zn", "Mg", "Mg", "Mg"], "fractional_positions": [[0.500, 0.500, 0.500], [0.000, 0.000, 0.000], [0.000, 0.000, 0.500], [0.000, 0.500, 0.000], [0.500, 0.000, 0.000]], "density_g_cm3": 2.5, "magnetic_moment_mub_per_cell": 0.00}

***

Stability ranking, top and bottom: <one> is the most stable and <two> is the least stable.

***

<one>
{"formula": "MgPb2", "functional": "GGA-PBEsol", "state": "optimized geometry", "cell": [[-2.170, -9.270, 1.922], [-1.777, -6.181, -7.279], [6.387, -7.015, -2.083]], "species": ["Pb", "Pb", "Pb", "Mg", "Pb", "Pb", "Mg", "Pb", "Mg", "Pb", "Pb", "Pb", "Mg", "Pb", "Pb", "Mg", "Mg", "Pb", "Mg", "Pb", "Pb", "Pb", "Pb", "Mg"], "fractional_positions": [[0.565, 0.565, 0.935], [0.315, 0.685, 0.685], [0.685, 0.315, 0.315], [0.340, 0.981, 0.340], [0.935, 0.565, 0.935], [0.315, 0.685, 0.315], [0.340, 0.340, 0.981], [0.565, 0.935, 0.565], [0.910, 0.910, 0.910], [0.125, 0.125, 0.625], [0.125, 0.125, 0.125], [0.315, 0.315, 0.685], [0.910, 0.269, 0.910], [0.565, 0.935, 0.935], [0.685, 0.315, 0.685], [0.269, 0.910, 0.910], [0.981, 0.340, 0.340], [0.685, 0.685, 0.315], [0.340, 0.340, 0.340], [0.935, 0.565, 0.565], [0.125, 0.625, 0.125], [0.625, 0.125, 0.125], [0.935, 0.935, 0.565], [0.910, 0.910, 0.269]], "density_g_cm3": 9.0, "magnetic_moment_mub_per_cell": 0.00}

***

<two>
{"formula": "MgPb2", "functional": "GGA-PBEsol", "state": "optimized geometry", "cell": [[3.406, 0.000, 0.000], [-1.703, 6.211, -0.002], [0.000, -1.801, 7.755]], "species": ["Pb", "Pb", "Pb", "Mg", "Pb", "Mg"], "fractional_positions": [[0.609, 0.218, 0.736], [0.660, 0.321, 0.320], [0.296, 0.593, 0.045], [0.007, 0.014, 0.001], [0.939, 0.879, 0.406], [0.321, 0.643, 0.658]], "density_g_cm3": 8.9, "magnetic_moment_mub_per_cell": 0.00}

***

Stability ranking, top and bottom: <one> is the most stable and <two> is the least stable.

***

<one>
{"formula": "MgPb2", "functional": "GGA-PBEsol", "state": "optimized geometry", "cell": [[-0.087, 2.804, -2.063], [-3.477, -0.178, -0.095], [1.433, 2.630, 6.453]], "species": ["Pb", "Pb", "Mg"], "fractional_positions": [[0.345, 0.345, 0.689], [0.655, 0.655, 0.311], [0.000, 0.000, 0.000]], "density_g_cm3": 9.0, "magnetic_moment_mub_per_cell": 0.00}

***

<two>
{"formula": "MgPb2", "functional": "GGA-PBEsol", "state": "optimized geometry", "cell": [[-1.951, 2.637, 1.338], [-2.731, -3.306, 2.535], [3.136, 0.365, 3.853]], "species": ["Pb", "Mg", "Pb"], "fractional_positions": [[0.500, 0.500, 0.000], [0.000, 0.000, 0.000], [0.500, 0.000, 0.500]], "density_g_cm3": 8.3, "magnetic_moment_mub_per_cell": 0.00}

***

Stability ranking, top and bottom: <one> is the most stable and <two> is the least stable.

***

<one>
{"formula": "Mg4Pb5", "functional": "GGA-PBEsol", "state": "optimized geometry", "cell": [[4.717, 0.000, 0.000], [2.358, 7.108, 0.000], [2.358, 0.000, 7.108]], "species": ["Pb", "Pb", "Mg", "Pb", "Mg", "Pb", "Mg", "Pb", "Mg"], "fractional_positions": [[0.670, 0.000, 0.660], [0.330, 0.000, 0.340], [0.339, 0.661, 0.661], [0.000, 0.000, 0.000], [0.661, 0.339, 0.339], [0.670, 0.660, 0.000], [0.000, 0.339, 0.661], [0.330, 0.340, 0.000], [0.000, 0.661, 0.339]], "density_g_cm3": 7.9, "magnetic_moment_mub_per_cell": 0.00}

***

<two>
{"formula": "Mg4Pb5", "functional": "GGA-PBEsol", "state": "optimized geometry", "cell": [[6.571, 0.000, 0.000], [0.000, 9.103, 0.000], [0.000, -4.551, 7.883]], "species": ["Mg", "Pb", "Pb", "Mg", "Mg", "Pb", "Mg", "Pb", "Pb", "Pb", "Mg", "Mg", "Mg", "Pb", "Pb", "Pb", "Mg", "Pb"], "fractional_positions": [[0.500, 0.000, 0.000], [0.000, 0.333, 0.667], [0.500, 0.667, 0.333], [0.750, 0.000, 0.354], [0.250, 0.000, 0.646], [0.000, 0.667, 0.333], [0.250, 0.646, 0.000], [0.500, 0.333, 0.667], [0.250, 0.000, 0.308], [0.750, 0.000, 0.692], [0.750, 0.646, 0.646], [0.250, 0.354, 0.354], [0.000, 0.000, 0.000], [0.750, 0.308, 0.308], [0.250, 0.692, 0.692], [0.750, 0.692, 0.000], [0.750, 0.354, 0.000], [0.250, 0.308, 0.000]], "density_g_cm3": 8.0, "magnetic_moment_mub_per_cell": 0.00}

***

Stability ranking, top and bottom: <two> is the most stable and <one> is the least stable.

***

<one>
{"formula": "Mg5Pb3", "functional": "GGA-PBEsol", "state": "optimized geometry", "cell": [[-1.187, 0.695, -5.761], [2.541, -8.270, -1.521], [-8.391, 1.731, 1.938]], "species": ["Pb", "Mg", "Mg", "Mg", "Pb", "Mg", "Pb", "Mg", "Mg", "Pb", "Mg", "Pb", "Mg", "Mg", "Pb", "Mg"], "fractional_positions": [[0.750, 0.600, 0.000], [0.500, 0.667, 0.333], [0.250, 0.220, 0.220], [0.000, 0.667, 0.333], [0.750, 0.000, 0.600], [0.750, 0.780, 0.780], [0.250, 0.600, 0.600], [0.750, 0.000, 0.220], [0.500, 0.333, 0.667], [0.250, 0.000, 0.400], [0.000, 0.333, 0.667], [0.750, 0.400, 0.400], [0.250, 0.780, 0.000], [0.250, 0.000, 0.780], [0.250, 0.400, 0.000], [0.750, 0.220, 0.000]], "density_g_cm3": 6.2, "magnetic_moment_mub_per_cell": 0.00}

***

<two>
{"formula": "Mg5Pb3", "functional": "GGA-PBEsol", "state": "optimized geometry", "cell": [[4.645, 0.000, 0.000], [0.000, 6.502, -0.083], [0.000, -0.526, 6.481]], "species": ["Pb", "Pb", "Mg", "Mg", "Mg", "Mg", "Pb", "Mg"], "fractional_positions": [[0.500, 0.223, 0.777], [0.500, 0.777, 0.223], [0.000, 0.000, 0.500], [0.000, 0.500, 0.000], [0.500, 0.264, 0.264], [0.000, 0.000, 0.000], [0.000, 0.500, 0.500], [0.500, 0.736, 0.736]], "density_g_cm3": 6.3, "magnetic_moment_mub_per_cell": 0.00}

***

<three>
{"formula": "Mg5Pb3", "functional": "GGA-PBEsol", "state": "optimized geometry", "cell": [[-4.380, -2.578, -3.051], [2.860, -7.291, -3.703], [-4.332, -5.498, 5.105]], "species": ["Pb", "Pb", "Mg", "Mg", "Pb", "Mg", "Mg", "Mg", "Pb", "Mg", "Mg", "Mg", "Pb", "Pb", "Mg", "Mg"], "fractional_positions": [[0.168, 0.500, 0.164], [0.832, 0.500, 0.836], [0.074, 0.158, 0.693], [0.574, 0.693, 0.158], [0.668, 0.164, 0.500], [0.750, 0.500, 0.500], [0.268, 0.158, 0.307], [0.926, 0.842, 0.307], [0.750, 0.000, 0.000], [0.250, 0.500, 0.500], [0.732, 0.842, 0.693], [0.232, 0.693, 0.842], [0.332, 0.836, 0.500], [0.250, 0.000, 0.000], [0.768, 0.307, 0.158], [0.426, 0.307, 0.842]], "density_g_cm3": 6.3, "magnetic_moment_mub_per_cell": 0.00}

***

Stability ranking, top and bottom: <two> is the most stable and <three> is the least stable.

***

<one>
{"formula": "MgPb5", "functional": "GGA-PBEsol", "state": "optimized geometry", "cell": [[4.787, 0.000, 0.000], [0.000, 4.846, 0.000], [0.000, 2.423, 7.423]], "species": ["Pb", "Pb", "Mg", "Pb", "Pb", "Pb"], "fractional_positions": [[0.000, 0.836, 0.327], [0.500, 0.000, 0.000], [0.000, 0.500, 0.000], [0.500, 0.337, 0.327], [0.000, 0.164, 0.673], [0.500, 0.663, 0.673]], "density_g_cm3": 10.2, "magnetic_moment_mub_per_cell": 0.00}

***

<two>
{"formula": "MgPb5", "functional": "GGA-PBEsol", "state": "optimized geometry", "cell": [[5.587, 0.000, 0.000], [0.000, 5.957, 0.000], [0.000, -2.979, 5.159]], "species": ["Pb", "Pb", "Pb", "Mg", "Pb", "Pb"], "fractional_positions": [[0.000, 0.000, 0.672], [0.000, 0.328, 0.328], [0.500, 0.667, 0.333], [0.500, 0.000, 0.000], [0.500, 0.333, 0.667], [0.000, 0.672, 0.000]], "density_g_cm3": 10.3, "magnetic_moment_mub_per_cell": 0.00}

***

<three>
{"formula": "MgPb5", "functional": "GGA-PBEsol", "state": "optimized geometry", "cell": [[-1.578, -2.596, 1.650], [-1.620, -0.875, -2.926], [10.815, -8.722, -3.381]], "species": ["Pb", "Pb", "Pb", "Pb", "Mg", "Pb"], "fractional_positions": [[0.000, 0.000, 0.500], [0.000, 0.000, 0.148], [0.000, 0.000, 0.852], [0.500, 0.500, 0.326], [0.500, 0.500, 0.000], [0.500, 0.500, 0.674]], "density_g_cm3": 10.3, "magnetic_moment_mub_per_cell": 0.00}

***

Stability ranking, top and bottom: <three> is the most stable and <two> is the least stable.